No. 1
The following is a PBE calculation of crystalline TbScSeS at its relaxed geometry, from Alexandria via LeMat-Bulk.

Values from the calculation:
electronic total energy	-6.446	eV per atom

Cell: 3.8019 3.8029 7.1013 Å, 90.00 105.53 120.01°
Last column: nearest neighbours and their distance in Å.
Atoms (fractional coordinates):
Tb: 0.1182 0.9570 0.0903  3 S 2.71, 3 Se 2.93
S: 0.2951 0.5455 0.8560  3 Sc 2.61, 3 Tb 2.71
Se: 0.9758 0.3859 0.3769  3 Sc 2.85, 3 Tb 2.93
Sc: 0.4888 0.1424 0.6465  3 S 2.61, 3 Se 2.85

No. 2
The following is a PBE calculation of crystalline PrHo4Pb4 at its relaxed geometry, from Alexandria via LeMat-Bulk.

Values from the calculation:
DFT formation energy	-0.221	eV/atom

Cell: 6.1832 10.0611 10.0611 Å, 90.00 90.00 90.00°
Last column: nearest neighbours and their distance in Å.
Atoms (fractional coordinates):
Ho: 0.4097 0.6545 0.1023  5 Pb 3.10-3.21
Ho: 0.5903 0.1023 0.3455  5 Pb 3.10-3.21
Ho: 0.5903 0.8977 0.6545  5 Pb 3.10-3.21
Ho: 0.9097 0.6023 0.8455  5 Pb 3.10-3.21
Ho: 0.9097 0.3977 0.1545  5 Pb 3.10-3.21
Ho: 0.0903 0.1545 0.6023  5 Pb 3.10-3.21
Ho: 0.4097 0.3455 0.8977  5 Pb 3.10-3.21
Ho: 0.0903 0.8455 0.3977  5 Pb 3.10-3.21
Pr: 0.5000 0.5000 0.5000  4 Pb 3.25
Pr: 0.0000 0.0000 0.0000  4 Pb 3.25
Pb: 0.0815 0.8660 0.7106  5 Ho 3.10-3.21, 1 Pb 3.23, 1 Pr 3.25
Pb: 0.5815 0.2106 0.6340  5 Ho 3.10-3.21, 1 Pb 3.23, 1 Pr 3.25
Pb: 0.9185 0.2894 0.8660  5 Ho 3.10-3.21, 1 Pb 3.23, 1 Pr 3.25
Pb: 0.4185 0.3660 0.2106  5 Ho 3.10-3.21, 1 Pb 3.23, 1 Pr 3.25
Pb: 0.9185 0.7106 0.1340  5 Ho 3.10-3.21, 1 Pb 3.23, 1 Pr 3.25
Pb: 0.5815 0.7894 0.3660  5 Ho 3.10-3.21, 1 Pb 3.23, 1 Pr 3.25
Pb: 0.4185 0.6340 0.7894  5 Ho 3.10-3.21, 1 Pb 3.23, 1 Pr 3.25
Pb: 0.0815 0.1340 0.2894  5 Ho 3.10-3.21, 1 Pb 3.23, 1 Pr 3.25

No. 3
The following is a PBE calculation of crystalline NaErMgTl at its relaxed geometry, from Alexandria via LeMat-Bulk.

Values from the calculation:
DFT formation energy	-0.060	eV/atom

Cell: 5.2894 5.2894 5.2894 Å, 60.00 60.00 60.00°
Last column: nearest neighbours and their distance in Å.
Atoms (fractional coordinates):
Na: 0.0000 0.0000 0.0000  4 Mg 3.24, 4 Tl 3.24
Mg: 0.7500 0.7500 0.7500  4 Na 3.24, 4 Er 3.24
Er: 0.5000 0.5000 0.5000  4 Tl 3.24, 4 Mg 3.24
Tl: 0.2500 0.2500 0.2500  4 Na 3.24, 4 Er 3.24

No. 4
The following is a PBE calculation of crystalline Rb3Pu3US8 at its relaxed geometry, from Alexandria via LeMat-Bulk.

Values from the calculation:
electronic total energy	-7.575	eV per atom

Cell: 8.1815 8.1817 9.0989 Å, 116.74 90.00 120.00°
Last column: nearest neighbours and their distance in Å.
Atoms (fractional coordinates):
S: 0.2227 0.4454 0.6836  1 U 2.70, 2 Pu 2.79
S: 0.7773 0.5546 0.3164  1 U 2.70, 2 Pu 2.79
S: 0.7384 0.9611 0.6836  1 U 2.70, 2 Pu 2.79
S: 0.2706 0.5412 0.3119  3 Pu 2.78
S: 0.7294 0.4588 0.6881  3 Pu 2.78
S: 0.7773 0.0389 0.3164  1 U 2.70, 2 Pu 2.79
S: 0.2616 0.0389 0.3164  1 U 2.70, 2 Pu 2.79
S: 0.2227 0.9611 0.6836  1 U 2.70, 2 Pu 2.79
U: 0.0000 0.0000 0.5000  6 S 2.70
Pu: 0.0000 0.5000 0.5000  6 S 2.78-2.79
Pu: 0.5000 0.0000 0.5000  6 S 2.78-2.79
Pu: 0.5000 0.5000 0.5000  6 S 2.78-2.79
Rb: 0.0000 0.5000 0.0000  6 S 3.38-3.39
Rb: 0.5000 0.5000 0.0000  6 S 3.38-3.39
Rb: 0.0000 0.0000 0.0000  6 S 3.38-3.39

No. 5
The following is a PBE calculation of crystalline PPb at its relaxed geometry, from Alexandria via LeMat-Bulk.

Values from the calculation:
DFT formation energy	0.329	eV/atom

Cell: 4.5478 4.5478 4.5478 Å, 60.00 60.00 60.00°
Last column: nearest neighbours and their distance in Å.
Atoms (fractional coordinates):
Pb: 0.2500 0.2500 0.2500  4 P 2.78
P: 0.0000 0.0000 0.0000  4 Pb 2.78

No. 6
The following is a PBE calculation of crystalline RbLiZnPbSe at its relaxed geometry, from Alexandria via LeMat-Bulk.

Values from the calculation:
energy relative to the lowest polymorph listed for this composition	71	meV/atom

Cell: 7.4806 4.7361 8.7101 Å, 90.00 102.44 90.00°
Last column: nearest neighbours and their distance in Å.
Atoms (fractional coordinates):
Se: 0.5012 0.0000 0.2215  1 Zn 2.61, 2 Li 2.62
Se: 0.5012 0.5000 0.7215  1 Zn 2.61, 2 Li 2.62
Li: 0.6533 0.0000 0.7431  2 Se 2.62
Li: 0.6533 0.5000 0.2431  2 Se 2.62
Rb: 0.2258 0.0000 0.8582  3 Se 3.38-3.51, 1 Li 3.55
Rb: 0.2258 0.5000 0.3582  3 Se 3.38-3.51, 1 Li 3.55
Pb: 0.8553 0.5000 0.6182  3 Zn 2.82-2.91, 1 Se 2.97, 2 Li 3.13
Pb: 0.8553 0.0000 0.1182  3 Zn 2.82-2.91, 1 Se 2.97, 2 Li 3.13
Zn: 0.8011 0.0000 0.4393  1 Se 2.61, 3 Pb 2.82-2.91
Zn: 0.8011 0.5000 0.9393  1 Se 2.61, 3 Pb 2.82-2.91